No. 1
Entry from the Alexandria database: crystalline CaTl2Fe at its relaxed geometry (PBEsol). Values from VASP.

Properties
Total moment: 0.610 μB/atom
Mass density: 9.3 g/cm3
Energy of formation: 26.3 kJ per mole of atoms

Cell and atoms, written as Quantum ESPRESSO input:
```
&SYSTEM
  ibrav = 0, nat = 4, ntyp = 3
/
ATOMIC_SPECIES
Ca 40.08 Ca.upf
Fe 55.84 Fe.upf
Tl 204.38 Tl.upf
CELL_PARAMETERS angstrom
4.3357 0.0000 0.0000
0.0000 4.3357 0.0000
-2.1679 -2.1679 4.7854
ATOMIC_POSITIONS angstrom
Ca 2.1679 2.1679 0.0000
Fe 0.0000 2.1679 2.3927
Tl 0.0000 0.0000 0.0000
Tl 2.1679 0.0000 2.3927
```

=====

No. 2
Entry from the Alexandria database: crystalline Sn4Te5Pb at its relaxed geometry (PBEsol). Values from VASP.

Properties
Total moment: 0.000 μB/atom
Formation energy from raw total energies: -2.92 eV/f.u.
Mass density: 7.0 g/cm3

Cell and atoms, written as Quantum ESPRESSO input:
```
&SYSTEM
  ibrav = 0, nat = 10, ntyp = 3
/
ATOMIC_SPECIES
Sn 118.71 Sn.upf
Te 127.60 Te.upf
Pb 207.20 Pb.upf
CELL_PARAMETERS angstrom
-3.9051 -1.1385 1.8375
0.3150 -4.0534 -1.8419
9.3543 -2.6420 12.8216
ATOMIC_POSITIONS angstrom
Sn -0.2783 -3.6469 2.5700
Sn 3.0324 -2.1012 5.1425
Sn 2.7318 -5.7327 7.6747
Sn 6.0424 -4.1869 10.2472
Te 4.2275 -6.7691 10.2113
Te -1.7950 -2.5959 -0.0022
Te 1.5366 -1.0648 2.6059
Te 1.2255 -4.6889 5.1202
Te 4.5387 -3.1449 7.6970
Pb 0.0000 0.0000 0.0000
```

=====

No. 3
Entry from the Alexandria database: crystalline K2Sb2Au at its relaxed geometry (PBEsol). Values from VASP.

Properties
Total moment: 0.000 μB/atom
Formation energy from raw total energies: -1.73 eV/f.u.
Mass density: 5.8 g/cm3

Cell and atoms, written as Quantum ESPRESSO input:
```
&SYSTEM
  ibrav = 0, nat = 10, ntyp = 3
/
ATOMIC_SPECIES
Sb 121.76 Sb.upf
K 39.10 K.upf
Au 196.97 Au.upf
CELL_PARAMETERS angstrom
-0.8038 -2.5745 5.0222
-0.4019 -6.4044 -3.3474
7.1540 -0.8260 0.7215
ATOMIC_POSITIONS angstrom
Sb 5.9748 -2.9807 -0.5718
Sb 4.2698 -6.0092 -2.3971
Sb 0.7773 -4.2497 -2.0541
Sb 2.4823 -1.2212 -0.2287
K 4.2968 -2.9014 2.4356
K 5.2959 -6.2422 0.8830
K 1.6515 -6.9035 -0.0393
K 0.6524 -3.5627 1.5134
Au 0.0000 0.0000 0.0000
Au 3.3760 -3.6152 -1.3129
```

=====

No. 4
Entry from the Alexandria database: crystalline Tl2RhAu at its relaxed geometry (PBEsol). Values from VASP.

Properties
Total moment: 0.000 μB/atom
Mass density: 14.5 g/cm3
Energy of formation: 16.3 kJ per mole of atoms

Cell and atoms, written as Quantum ESPRESSO input:
```
&SYSTEM
  ibrav = 0, nat = 4, ntyp = 3
/
ATOMIC_SPECIES
Au 196.97 Au.upf
Rh 102.91 Rh.upf
Tl 204.38 Tl.upf
CELL_PARAMETERS angstrom
3.2524 0.0000 0.0000
0.0000 3.2524 0.0000
0.0000 0.0000 7.6979
ATOMIC_POSITIONS angstrom
Au 0.0000 0.0000 4.1145
Rh 1.6262 1.6262 5.6787
Tl 0.0000 0.0000 7.2682
Tl 1.6262 1.6262 2.1834
```

=====

No. 5
Entry from the Alexandria database: crystalline Y2O3 at its relaxed geometry (PBEsol). Values from VASP.

Properties
Total moment: 0.000 μB/atom
Formation energy from raw total energies: -18.02 eV/f.u.
Mass density: 5.6 g/cm3

Cell and atoms, written as Quantum ESPRESSO input:
```
&SYSTEM
  ibrav = 0, nat = 15, ntyp = 2
/
ATOMIC_SPECIES
O 16.00 O.upf
Y 88.91 Y.upf
CELL_PARAMETERS angstrom
-1.7578 2.2242 1.9995
-3.9146 -0.4586 -5.9409
-3.2720 -6.5566 4.4169
ATOMIC_POSITIONS angstrom
O -5.9141 -4.2175 -0.5079
O -3.0304 -0.5735 0.9833
O -5.7286 -5.0206 3.5581
O -3.2159 0.2296 -3.0826
O -4.8974 -2.7077 1.7159
O -4.0470 -2.0833 -1.2405
O -6.5228 -0.5240 -2.1420
O -2.4217 -4.2670 2.6175
O 0.0000 0.0000 0.0000
Y -6.0539 -1.7735 -0.3400
Y -2.8905 -3.0175 0.8154
Y -6.6706 -4.1414 1.7519
Y -2.2738 -0.6496 -1.2764
Y -3.8552 -4.1749 4.2643
Y -5.0892 -0.6161 -3.7889
```

=====

No. 6
Entry from the Alexandria database: crystalline Ba2AlTl at its relaxed geometry (PBEsol). Values from VASP.

Properties
Total moment: 0.000 μB/atom
Mass density: 6.2 g/cm3
Energy of formation: -23.9 kJ per mole of atoms

Cell and atoms, written as Quantum ESPRESSO input:
```
&SYSTEM
  ibrav = 0, nat = 4, ntyp = 3
/
ATOMIC_SPECIES
Tl 204.38 Tl.upf
Ba 137.33 Ba.upf
Al 26.98 Al.upf
CELL_PARAMETERS angstrom
-3.8202 0.9531 0.8521
-1.8063 -4.5735 -2.9829
3.0788 -1.4474 5.8992
ATOMIC_POSITIONS angstrom
Tl -2.7907 -2.0868 -0.6550
Ba -2.5641 -4.8674 3.4711
Ba -1.7627 -1.3320 3.1097
Al -0.7913 -3.6595 0.5457
```

=====

No. 7
Entry from the Alexandria database: crystalline BaSi2Au at its relaxed geometry (PBEsol). Values from VASP.

Properties
Total moment: 0.000 μB/atom
Formation energy from raw total energies: -1.65 eV/f.u.
Mass density: 7.1 g/cm3

Cell and atoms, written as Quantum ESPRESSO input:
```
&SYSTEM
  ibrav = 0, nat = 4, ntyp = 3
/
ATOMIC_SPECIES
Au 196.97 Au.upf
Ba 137.33 Ba.upf
Si 28.09 Si.upf
CELL_PARAMETERS angstrom
4.1874 0.0000 0.0000
-2.0937 3.6330 -0.0315
0.0000 -2.3631 6.0137
ATOMIC_POSITIONS angstrom
Au 0.0000 -1.1816 3.0069
Ba 2.0937 0.0000 0.0000
Si 2.0937 0.0375 3.8038
Si 0.0000 1.2324 2.1784
```

=====

No. 8
Entry from the Alexandria database: crystalline BaNaYB2O6 at its relaxed geometry (PBEsol). Values from VASP.

Properties
Total moment: 0.000 μB/atom
Formation energy from raw total energies: -30.90 eV/f.u.
Mass density: 4.1 g/cm3

Cell and atoms, written as Quantum ESPRESSO input:
```
&SYSTEM
  ibrav = 0, nat = 22, ntyp = 5
/
ATOMIC_SPECIES
Ba 137.33 Ba.upf
Na 22.99 Na.upf
Y 88.91 Y.upf
B 10.81 B.upf
O 16.00 O.upf
CELL_PARAMETERS angstrom
-1.3078 4.5246 -2.5238
-1.5973 -0.1495 -5.0969
-12.2293 0.1928 1.0260
ATOMIC_POSITIONS angstrom
Ba -6.3428 3.9888 -6.5320
Ba -8.7915 0.5791 -0.0627
Na -3.5752 2.7326 -4.5615
Na -11.5591 1.8353 -2.0332
Y 0.0000 0.0000 0.0000
Y -7.5672 2.2840 -3.2974
B -2.3103 1.3076 -2.1152
B -12.8241 3.2604 -4.4795
B -5.2703 0.9749 -1.1779
B -9.8640 3.5930 -5.4169
O -2.6516 0.8599 -3.3879
O -2.3581 2.6666 -1.8197
O -1.8905 0.3996 -1.1478
O -12.4827 3.7080 -3.2068
O -12.7763 1.9013 -4.7750
O -13.2439 4.1683 -5.4469
O -6.5777 1.5368 -5.1305
O -6.4224 4.1303 -3.7197
O -5.6957 1.6350 -2.3104
O -8.5566 3.0311 -1.4642
O -8.7120 0.4376 -2.8750
O -9.4387 2.9330 -4.2843
```